(1)
# PBE-GGA Nd2Dy3PuTe6, relaxed
data_Nd2Dy3PuTe6
_symmetry_space_group_name_H-M 'C 1 2/m 1'
_symmetry_Int_Tables_number 12
_symmetry_space_group_name_Hall '-C 2y'
_cell_length_a 19.292
_cell_length_b 4.386
_cell_length_c 8.889
_cell_angle_alpha 90.00
_cell_angle_beta 103.90
_cell_angle_gamma 90.00
loop_
_atom_site_label
_atom_site_type_symbol
_atom_site_fract_x
_atom_site_fract_y
_atom_site_fract_z
Nd1 Nd 0.167 0.000 0.334
Dy1 Dy 0.000 0.500 0.500
Dy2 Dy 0.169 0.000 0.836
Pu1 Pu 0.000 0.500 0.000
Te1 Te 0.003 0.000 0.748
Te2 Te 0.164 0.500 0.591
Te3 Te 0.167 0.500 0.077
# - VASP energy (eV per atom) = -6.024
# - DOS(E_F) (states/eV/f.u.) = 13.38


(2)
# PBE-GGA NdDy3Pu2Te6, relaxed
data_NdDy3Pu2Te6
_symmetry_space_group_name_H-M 'C 1 2/m 1'
_symmetry_Int_Tables_number 12
_symmetry_space_group_name_Hall '-C 2y'
_cell_length_a 19.231
_cell_length_b 4.381
_cell_length_c 8.846
_cell_angle_alpha 90.00
_cell_angle_beta 103.72
_cell_angle_gamma 90.00
loop_
_atom_site_label
_atom_site_type_symbol
_atom_site_fract_x
_atom_site_fract_y
_atom_site_fract_z
Nd1 Nd 0.000 0.000 0.000
Dy1 Dy 0.000 0.000 0.500
Dy2 Dy 0.165 0.500 0.834
Pu1 Pu 0.166 0.500 0.333
Te1 Te 0.001 0.500 0.742
Te2 Te 0.166 0.000 0.587
Te3 Te 0.170 0.000 0.082
# - VASP energy (eV per atom) = -6.772
# - DOS(E_F) (states/eV/f.u.) = 23.27


(3)
# PBE-GGA NdDyPuTl, relaxed
data_NdDyPuTl
_symmetry_space_group_name_H-M 'F -4 3 m'
_symmetry_Int_Tables_number 216
_symmetry_space_group_name_Hall 'F -4 2 3'
_cell_length_a 7.749
_cell_length_b 7.749
_cell_length_c 7.749
_cell_angle_alpha 90.00
_cell_angle_beta 90.00
_cell_angle_gamma 90.00
loop_
_atom_site_label
_atom_site_type_symbol
_atom_site_fract_x
_atom_site_fract_y
_atom_site_fract_z
Nd1 Nd 0.000 0.000 0.000
Dy1 Dy 0.000 0.000 0.500
Pu1 Pu 0.250 0.250 0.250
Tl1 Tl 0.250 0.250 0.750
# - energy of formation from the pure elements (kJ/mol of formula units) = 13.9
# - DOS(E_F) (states/eV/f.u.) = 15.99


(4)
# PBE-GGA NdDyTmPu, relaxed
data_NdDyTmPu
_symmetry_space_group_name_H-M 'F -4 3 m'
_symmetry_Int_Tables_number 216
_symmetry_space_group_name_Hall 'F -4 2 3'
_cell_length_a 7.945
_cell_length_b 7.945
_cell_length_c 7.945
_cell_angle_alpha 90.00
_cell_angle_beta 90.00
_cell_angle_gamma 90.00
loop_
_atom_site_label
_atom_site_type_symbol
_atom_site_fract_x
_atom_site_fract_y
_atom_site_fract_z
Nd1 Nd 0.000 0.000 0.000
Dy1 Dy 0.250 0.250 0.750
Tm1 Tm 0.250 0.250 0.250
Pu1 Pu 0.000 0.000 0.500
# - energy of formation from the pure elements (kJ/mol of formula units) = 79.5
# - DOS(E_F) (states/eV/f.u.) = 11.73


(5)
# PBE-GGA Nd3Dy6Tm2Pu, relaxed
data_Nd3Dy6Tm2Pu
_symmetry_space_group_name_H-M 'C 1 2/m 1'
_symmetry_Int_Tables_number 12
_symmetry_space_group_name_Hall '-C 2y'
_cell_length_a 6.160
_cell_length_b 10.672
_cell_length_c 11.741
_cell_angle_alpha 90.00
_cell_angle_beta 100.11
_cell_angle_gamma 90.00
loop_
_atom_site_label
_atom_site_type_symbol
_atom_site_fract_x
_atom_site_fract_y
_atom_site_fract_z
Nd1 Nd 0.000 0.000 0.000
Nd2 Nd 0.000 0.333 0.000
Dy1 Dy 0.246 0.335 0.744
Dy2 Dy 0.248 0.500 0.256
Tm1 Tm 0.000 0.167 0.500
Pu1 Pu 0.000 0.500 0.500
# - energy of formation from the pure elements (kJ/mol of formula units) = 52.6
# - DOS(E_F) (states/eV/f.u.) = 23.55


(6)
# PBE-GGA Nd2Dy3Tm6Pu, relaxed
data_Nd2Dy3Tm6Pu
_symmetry_space_group_name_H-M 'C 1 2/m 1'
_symmetry_Int_Tables_number 12
_symmetry_space_group_name_Hall '-C 2y'
_cell_length_a 6.112
_cell_length_b 10.592
_cell_length_c 11.612
_cell_angle_alpha 90.00
_cell_angle_beta 100.14
_cell_angle_gamma 90.00
loop_
_atom_site_label
_atom_site_type_symbol
_atom_site_fract_x
_atom_site_fract_y
_atom_site_fract_z
Nd1 Nd 0.000 0.166 0.000
Dy1 Dy 0.000 0.000 0.500
Dy2 Dy 0.000 0.333 0.500
Tm1 Tm 0.246 0.500 0.749
Tm2 Tm 0.247 0.336 0.251
Pu1 Pu 0.000 0.500 0.000
# - energy of formation from the pure elements (kJ/mol of formula units) = 56.0
# - DOS(E_F) (states/eV/f.u.) = 24.32


(7)
# PBE-GGA Nd3Dy2Tm6Pu, relaxed
data_Nd3Dy2Tm6Pu
_symmetry_space_group_name_H-M 'C 1 2/m 1'
_symmetry_Int_Tables_number 12
_symmetry_space_group_name_Hall '-C 2y'
_cell_length_a 6.133
_cell_length_b 10.626
_cell_length_c 11.615
_cell_angle_alpha 90.00
_cell_angle_beta 100.15
_cell_angle_gamma 90.00
loop_
_atom_site_label
_atom_site_type_symbol
_atom_site_fract_x
_atom_site_fract_y
_atom_site_fract_z
Nd1 Nd 0.000 0.000 0.000
Nd2 Nd 0.000 0.333 0.000
Dy1 Dy 0.000 0.167 0.500
Tm1 Tm 0.246 0.336 0.745
Tm2 Tm 0.247 0.500 0.255
Pu1 Pu 0.000 0.500 0.500
# - energy of formation from the pure elements (kJ/mol of formula units) = 49.2
# - DOS(E_F) (states/eV/f.u.) = 21.50


(8)
# PBE-GGA Nd2Dy6Y3Pu, relaxed
data_Nd2Dy6Y3Pu
_symmetry_space_group_name_H-M 'C 1 2/m 1'
_symmetry_Int_Tables_number 12
_symmetry_space_group_name_Hall '-C 2y'
_cell_length_a 6.173
_cell_length_b 10.702
_cell_length_c 11.770
_cell_angle_alpha 90.00
_cell_angle_beta 100.12
_cell_angle_gamma 90.00
loop_
_atom_site_label
_atom_site_type_symbol
_atom_site_fract_x
_atom_site_fract_y
_atom_site_fract_z
Nd1 Nd 0.000 0.167 0.000
Dy1 Dy 0.246 0.500 0.750
Dy2 Dy 0.247 0.336 0.250
Y1 Y 0.000 0.000 0.500
Y2 Y 0.000 0.333 0.500
Pu1 Pu 0.000 0.500 0.000
# - energy of formation from the pure elements (kJ/mol of formula units) = 58.3
# - DOS(E_F) (states/eV/f.u.) = 25.85


> Which formula does entry 1 have?

Nd2Dy3PuTe6


> DOS(E_F) of number 3 (NdDyPuTl)?

15.99 states/eV/f.u.